Entry 1:
! KNa2NpCl8, relaxed, DFT PBE; values from VASP
&SYSTEM
  ibrav = 0, nat = 12, ntyp = 4
/
ATOMIC_SPECIES
K 39.10 K.upf
Na 22.99 Na.upf
Np 237.00 Np.upf
Cl 35.45 Cl.upf
ATOMIC_POSITIONS angstrom
K 0.0000 0.0000 0.0000
Na 3.3308 3.1519 1.7917
Na 4.7382 4.4331 7.3870
Np 0.5045 0.4553 4.5894
Cl 2.2608 5.9625 6.3706
Cl 2.0360 5.7740 2.7836
Cl 2.2907 2.2310 4.3726
Cl 3.1503 2.9726 8.8950
Cl 4.9187 4.6124 0.2838
Cl 5.7783 5.3540 4.8062
Cl 6.0330 1.8110 6.3951
Cl 5.8082 1.6225 2.8082
CELL_PARAMETERS angstrom
6.6712 0.0000 0.0000
0.3886 6.6743 0.0000
1.0091 0.9107 9.1788
! Energy in eV/atom: -4.2275
! ρ in g/cm3: 2.5
! D(E_F) in states/eV/cell: 11.19
! Magnetization in μB/f.u.: 1.915

Entry 2:
! CeTmMnCo, relaxed, DFT PBE; values from VASP
&SYSTEM
  ibrav = 0, nat = 4, ntyp = 4
/
ATOMIC_SPECIES
Ce 140.12 Ce.upf
Tm 168.93 Tm.upf
Mn 54.94 Mn.upf
Co 58.93 Co.upf
ATOMIC_POSITIONS angstrom
Ce 0.0000 0.0000 0.0000
Tm 3.3921 3.3921 3.3921
Mn 5.0881 5.0881 5.0881
Co 1.6960 1.6960 1.6960
CELL_PARAMETERS angstrom
0.0000 3.3921 3.3921
3.3921 0.0000 3.3921
3.3921 3.3921 0.0000
! ρ in g/cm3: 9.0
! D(E_F) in states/eV/cell: 6.03
! Formation energy in meV/atom: 44
! Magnetization in μB/f.u.: 2.690

Entry 3:
! ZrTe2F2, relaxed, DFT PBE; values from VASP
&SYSTEM
  ibrav = 0, nat = 5, ntyp = 3
/
ATOMIC_SPECIES
Zr 91.22 Zr.upf
Te 127.60 Te.upf
F 19.00 F.upf
ATOMIC_POSITIONS angstrom
Zr 0.0000 0.0000 0.0000
Te 0.0000 0.0000 5.1757
Te 0.0000 0.0000 8.2441
F 1.8792 0.0000 3.3549
F 0.0000 1.8792 3.3549
CELL_PARAMETERS angstrom
-1.8792 1.8792 6.7099
1.8792 -1.8792 6.7099
1.8792 1.8792 -6.7099
! Energy above the most stable polymorph in this dataset in eV per atom: 0.0000
! ρ in g/cm3: 6.7
! D(E_F) in states/eV/cell: 0.62
! Magnetization in μB/f.u.: 0.000

Entry 4:
! CsInSe2Br, relaxed, DFT PBE; values from VASP
&SYSTEM
  ibrav = 0, nat = 5, ntyp = 4
/
ATOMIC_SPECIES
Cs 132.91 Cs.upf
In 114.82 In.upf
Se 78.96 Se.upf
Br 79.90 Br.upf
ATOMIC_POSITIONS angstrom
Cs 0.0000 0.0000 0.0000
In 2.9193 2.9193 3.3518
Se 0.0000 2.9193 0.0000
Se 2.9193 0.0000 0.0000
Br 0.0000 0.0000 3.3518
CELL_PARAMETERS angstrom
5.8387 0.0000 0.0000
0.0000 5.8387 0.0000
0.0000 0.0000 6.7036
! Energy above the most stable polymorph in this dataset in eV per atom: 0.9718
! ρ in g/cm3: 3.5
! D(E_F) in states/eV/cell: 8.38
! Magnetization in μB/f.u.: 0.593

Entry 5:
! Li2Ac3Mg3, relaxed, DFT PBE; values from VASP
&SYSTEM
  ibrav = 0, nat = 8, ntyp = 3
/
ATOMIC_SPECIES
Li 6.94 Li.upf
Ac 227.00 Ac.upf
Mg 24.30 Mg.upf
ATOMIC_POSITIONS angstrom
Li 0.0000 0.0000 0.0000
Li 0.0000 0.0000 13.4377
Ac 0.0000 0.0000 3.3514
Ac 0.0000 0.0000 17.0851
Ac 0.0000 0.0000 23.9634
Mg 0.0000 0.0000 6.9847
Mg 0.0000 0.0000 10.2196
Mg 0.0000 0.0000 20.4433
CELL_PARAMETERS angstrom
2.8203 1.6283 9.1531
-2.8203 1.6283 9.1531
0.0000 -3.2566 9.1531
! ρ in g/cm3: 5.1
! D(E_F) in states/eV/cell: 8.06
! Formation energy in meV/atom: 34
! Magnetization in μB/f.u.: 0.000

Entry 6:
! LaTm2F11, relaxed, DFT PBE; values from VASP
&SYSTEM
  ibrav = 0, nat = 28, ntyp = 3
/
ATOMIC_SPECIES
La 138.91 La.upf
Tm 168.93 Tm.upf
F 19.00 F.upf
ATOMIC_POSITIONS angstrom
La 0.0000 0.0000 2.9142
La 0.0000 0.0000 8.7425
Tm 5.4327 1.9227 0.0000
Tm 1.2765 3.2018 0.0000
Tm 2.8797 1.9227 5.8284
Tm -1.2765 3.2018 5.8284
F 4.1562 0.0000 0.0000
F 5.0543 -3.3088 4.2293
F 1.8054 -0.8050 1.4932
F 5.0543 3.3088 -1.5990
F 3.2297 2.0541 0.0000
F 6.5069 0.8050 1.4932
F 2.3508 4.3195 -1.4932
F 3.2297 -2.0541 5.8284
F 0.8981 1.8157 1.5990
F 1.8054 0.8050 4.3351
F 5.0543 3.3088 1.5990
F 0.0000 5.1245 0.0000
F -0.8981 1.8157 4.2293
F 2.3508 4.3195 1.4932
F 3.2580 3.3088 4.2293
F 0.9265 7.1787 0.0000
F 1.8054 0.8050 7.3216
F -2.3508 4.3195 4.3351
F 0.9265 3.0704 5.8284
F -0.8981 1.8157 7.4274
F 2.3508 5.9296 4.3351
F -0.8981 8.4333 1.5990
CELL_PARAMETERS angstrom
-4.1562 5.1245 5.8284
4.1562 -5.1245 5.8284
4.1562 5.1245 -5.8284
! Energy in eV/atom: -5.9414
! ρ in g/cm3: 4.6
! D(E_F) in states/eV/cell: 25.76
! Magnetization in μB/f.u.: 2.106

Entry 7:
! NiPbSe, relaxed, DFT PBE; values from VASP
&SYSTEM
  ibrav = 0, nat = 3, ntyp = 3
/
ATOMIC_SPECIES
Ni 58.69 Ni.upf
Pb 207.20 Pb.upf
Se 78.96 Se.upf
ATOMIC_POSITIONS angstrom
Ni 0.0000 0.0000 0.0000
Pb 4.7693 4.7693 4.7693
Se 1.5898 1.5898 1.5898
CELL_PARAMETERS angstrom
0.0000 3.1795 3.1795
3.1795 0.0000 3.1795
3.1795 3.1795 0.0000
! Energy above the most stable polymorph in this dataset in eV per atom: 0.1656
! ρ in g/cm3: 8.9
! D(E_F) in states/eV/cell: 1.62
! Magnetization in μB/f.u.: 0.000

Entry 8:
! DyCdSn2, relaxed, DFT PBE; values from VASP
&SYSTEM
  ibrav = 0, nat = 4, ntyp = 3
/
ATOMIC_SPECIES
Dy 162.50 Dy.upf
Cd 112.41 Cd.upf
Sn 118.71 Sn.upf
ATOMIC_POSITIONS angstrom
Dy 0.0000 0.0000 0.0000
Cd 0.0000 0.0000 7.5706
Sn 0.0000 0.0000 3.6526
Sn 0.0000 0.0000 11.4886
CELL_PARAMETERS angstrom
2.4601 1.4203 5.0471
-2.4601 1.4203 5.0471
0.0000 -2.8406 5.0471
! Energy above the most stable polymorph in this dataset in eV per atom: 0.2435
! ρ in g/cm3: 8.0
! D(E_F) in states/eV/cell: 2.32
! Formation energy in meV/atom: -201
! Magnetization in μB/f.u.: 0.000